Entry 1:
# Sm3Mg2NpN6

Sm3Mg2NpN6 after structural relaxation (GGA-PBE, the Alexandria database).

Calculated values
- Total energy: -7.8426 eV per atom
- Theoretical density: 7.96 g/cm³

Geometry as CIF:
```
data_Sm3Mg2NpN6
_cell_length_a 5.9091
_cell_length_b 10.3086
_cell_length_c 5.9410
_cell_angle_alpha 90.00
_cell_angle_beta 108.82
_cell_angle_gamma 90.00
_symmetry_space_group_name_H-M 'C 1 2/m 1'
_symmetry_Int_Tables_number 12
loop_
_symmetry_equiv_pos_as_xyz
'x,y,z'
'-x,-y,-z'
'-x,y,-z'
'x,-y,z'
'x+1/2,y+1/2,z'
'-x+1/2,-y+1/2,-z'
'-x+1/2,y+1/2,-z'
'x+1/2,-y+1/2,z'
loop_
_atom_site_label
_atom_site_fract_x
_atom_site_fract_y
_atom_site_fract_z
Sm1 0.0000 0.0000 0.0000
Sm2 0.0000 0.3283 0.0000
Mg1 0.0000 0.1665 0.5000
Np1 0.0000 0.5000 0.5000
N1 0.2310 0.5000 0.2695
N2 0.2355 0.3435 0.7326
```



Entry 2:
# Sr3Mg2NpN6

Sr3Mg2NpN6 after structural relaxation (GGA-PBE, the Alexandria database).

Calculated values
- Total energy: -6.6299 eV per atom
- Theoretical density: 5.95 g/cm³

Geometry as CIF:
```
data_Sr3Mg2NpN6
_cell_length_a 5.8727
_cell_length_b 10.2286
_cell_length_c 6.1811
_cell_angle_alpha 90.00
_cell_angle_beta 107.95
_cell_angle_gamma 90.00
_symmetry_space_group_name_H-M 'C 1 2/m 1'
_symmetry_Int_Tables_number 12
loop_
_symmetry_equiv_pos_as_xyz
'x,y,z'
'-x,-y,-z'
'-x,y,-z'
'x,-y,z'
'x+1/2,y+1/2,z'
'-x+1/2,-y+1/2,-z'
'-x+1/2,y+1/2,-z'
'x+1/2,-y+1/2,z'
loop_
_atom_site_label
_atom_site_fract_x
_atom_site_fract_y
_atom_site_fract_z
Sr1 0.0000 0.0000 0.0000
Sr2 0.0000 0.3253 0.0000
Mg1 0.0000 0.1665 0.5000
Np1 0.0000 0.5000 0.5000
N1 0.2229 0.3487 0.7039
N2 0.2301 0.5000 0.2896
```



Entry 3:
# SrMgNp4N8

SrMgNp4N8 after structural relaxation (GGA-PBE, the Alexandria database).

Calculated values
- Total energy: -9.6546 eV per atom
- Theoretical density: 8.91 g/cm³

Geometry as CIF:
```
data_SrMgNp4N8
_cell_length_a 6.9137
_cell_length_b 6.9137
_cell_length_c 15.8258
_cell_angle_alpha 90.00
_cell_angle_beta 90.00
_cell_angle_gamma 120.00
_symmetry_space_group_name_H-M 'R 3 m'
_symmetry_Int_Tables_number 160
_symmetry_space_group_name_Hall 'R 3 -2"'
loop_
_atom_site_label
_atom_site_fract_x
_atom_site_fract_y
_atom_site_fract_z
Sr1 0.0000 0.0000 0.0000
Mg1 0.0000 0.0000 0.6169
Np1 0.0000 0.0000 0.2338
Np2 0.1688 0.3375 0.4492
N1 0.0000 0.0000 0.3766
N2 0.0000 0.0000 0.8455
N3 0.0595 0.5297 0.3806
N4 0.1817 0.3635 0.1900
```



Entry 4:
# SrMgNpN3

SrMgNpN3 after structural relaxation (GGA-PBE, the Alexandria database).

Calculated values
- Total energy: -7.7129 eV per atom
- Theoretical density: 5.75 g/cm³

Geometry as CIF:
```
data_SrMgNpN3
_cell_length_a 7.0494
_cell_length_b 3.6729
_cell_length_c 9.1824
_cell_angle_alpha 90.00
_cell_angle_beta 108.32
_cell_angle_gamma 90.00
_symmetry_space_group_name_H-M 'P 1 21/m 1'
_symmetry_Int_Tables_number 11
loop_
_symmetry_equiv_pos_as_xyz
'x,y,z'
'-x,-y,-z'
'-x,y+1/2,-z'
'x,-y+1/2,z'
loop_
_atom_site_label
_atom_site_fract_x
_atom_site_fract_y
_atom_site_fract_z
Sr1 0.0617 0.2500 0.3436
Mg1 0.3997 0.2500 0.8881
Np1 0.4357 0.7500 0.6397
N1 0.2204 0.2500 0.6514
N2 0.3527 0.7500 0.4056
N3 0.4581 0.2500 0.1267
```



Entry 5:
# Sr4MgNp3N8

Sr4MgNp3N8 after structural relaxation (GGA-PBE, the Alexandria database).

Calculated values
- Total energy: -8.0598 eV per atom
- Theoretical density: 7.86 g/cm³

Geometry as CIF:
```
data_Sr4MgNp3N8
_cell_length_a 7.0153
_cell_length_b 7.0153
_cell_length_c 17.8226
_cell_angle_alpha 90.00
_cell_angle_beta 90.00
_cell_angle_gamma 120.00
_symmetry_space_group_name_H-M 'R -3 m'
_symmetry_Int_Tables_number 166
_symmetry_space_group_name_Hall '-R 3 2"'
loop_
_atom_site_label
_atom_site_fract_x
_atom_site_fract_y
_atom_site_fract_z
Sr1 0.0000 0.0000 0.0000
Sr2 0.0000 0.5000 0.0000
Mg1 0.0000 0.0000 0.5000
Np1 0.0000 0.5000 0.5000
N1 0.0000 0.0000 0.2342
N2 0.0185 0.5093 0.7676
```



Entry 6:
# Mg2NpTa3N6

Mg2NpTa3N6 after structural relaxation (GGA-PBE, the Alexandria database).

Calculated values
- Total energy: -9.5760 eV per atom
- Theoretical density: 11.30 g/cm³

Geometry as CIF:
```
data_Mg2NpTa3N6
_cell_length_a 5.4081
_cell_length_b 9.4133
_cell_length_c 5.5713
_cell_angle_alpha 90.00
_cell_angle_beta 108.98
_cell_angle_gamma 90.00
_symmetry_space_group_name_H-M 'C 1 2/m 1'
_symmetry_Int_Tables_number 12
loop_
_symmetry_equiv_pos_as_xyz
'x,y,z'
'-x,-y,-z'
'-x,y,-z'
'x,-y,z'
'x+1/2,y+1/2,z'
'-x+1/2,-y+1/2,-z'
'-x+1/2,y+1/2,-z'
'x+1/2,-y+1/2,z'
loop_
_atom_site_label
_atom_site_fract_x
_atom_site_fract_y
_atom_site_fract_z
Mg1 0.0000 0.1658 0.0000
Np1 0.0000 0.5000 0.0000
Ta1 0.0000 0.0000 0.5000
Ta2 0.0000 0.3222 0.5000
N1 0.2440 0.1708 0.7479
N2 0.2468 0.0000 0.2649
```



Entry 7:
# Tb2MgNpN4

Tb2MgNpN4 after structural relaxation (GGA-PBE, the Alexandria database).

Calculated values
- Total energy: -8.4264 eV per atom
- Theoretical density: 9.43 g/cm³

Geometry as CIF:
```
data_Tb2MgNpN4
_cell_length_a 5.7820
_cell_length_b 3.4590
_cell_length_c 5.8722
_cell_angle_alpha 90.00
_cell_angle_beta 107.73
_cell_angle_gamma 90.00
_symmetry_space_group_name_H-M 'P 1 2/m 1'
_symmetry_Int_Tables_number 10
loop_
_symmetry_equiv_pos_as_xyz
'x,y,z'
'-x,-y,-z'
'-x,y,-z'
'x,-y,z'
loop_
_atom_site_label
_atom_site_fract_x
_atom_site_fract_y
_atom_site_fract_z
Tb1 0.0000 0.0000 0.0000
Tb2 0.5000 0.5000 0.0000
Mg1 0.0000 0.5000 0.5000
Np1 0.5000 0.0000 0.5000
N1 0.2522 0.5000 0.2605
N2 0.2662 0.0000 0.7343
```



Entry 8:
# Tb2Mg3NpN6

Tb2Mg3NpN6 after structural relaxation (GGA-PBE, the Alexandria database).

Calculated values
- Total energy: -7.5694 eV per atom
- Theoretical density: 7.57 g/cm³

Geometry as CIF:
```
data_Tb2Mg3NpN6
_cell_length_a 5.8599
_cell_length_b 10.2081
_cell_length_c 5.5667
_cell_angle_alpha 90.00
_cell_angle_beta 110.31
_cell_angle_gamma 90.00
_symmetry_space_group_name_H-M 'C 1 2/m 1'
_symmetry_Int_Tables_number 12
loop_
_symmetry_equiv_pos_as_xyz
'x,y,z'
'-x,-y,-z'
'-x,y,-z'
'x,-y,z'
'x+1/2,y+1/2,z'
'-x+1/2,-y+1/2,-z'
'-x+1/2,y+1/2,-z'
'x+1/2,-y+1/2,z'
loop_
_atom_site_label
_atom_site_fract_x
_atom_site_fract_y
_atom_site_fract_z
Tb1 0.0000 0.1676 0.0000
Mg1 0.0000 0.0000 0.5000
Mg2 0.0000 0.3422 0.5000
Np1 0.0000 0.5000 0.0000
N1 0.2300 0.5000 0.7667
N2 0.2343 0.3463 0.2450
```



Entry 9:
# Mg2NpTcN4

Mg2NpTcN4 after structural relaxation (GGA-PBE, the Alexandria database).

Calculated values
- Total energy: -8.2192 eV per atom
- Theoretical density: 8.27 g/cm³

Geometry as CIF:
```
data_Mg2NpTcN4
_cell_length_a 5.2589
_cell_length_b 3.1559
_cell_length_c 5.5932
_cell_angle_alpha 90.00
_cell_angle_beta 108.00
_cell_angle_gamma 90.00
_symmetry_space_group_name_H-M 'P 1 2/m 1'
_symmetry_Int_Tables_number 10
loop_
_symmetry_equiv_pos_as_xyz
'x,y,z'
'-x,-y,-z'
'-x,y,-z'
'x,-y,z'
loop_
_atom_site_label
_atom_site_fract_x
_atom_site_fract_y
_atom_site_fract_z
Mg1 0.0000 0.0000 0.0000
Mg2 0.5000 0.5000 0.0000
Np1 0.0000 0.5000 0.5000
Tc1 0.5000 0.0000 0.5000
N1 0.2526 0.0000 0.7524
N2 0.2531 0.5000 0.2569
```



Entry 10:
# Th2MgNpN5

Th2MgNpN5 after structural relaxation (GGA-PBE, the Alexandria database).

Calculated values
- Total energy: -9.1355 eV per atom
- Theoretical density: 10.24 g/cm³

Geometry as CIF:
```
data_Th2MgNpN5
_cell_length_a 3.5346
_cell_length_b 13.7764
_cell_length_c 10.5972
_cell_angle_alpha 90.00
_cell_angle_beta 90.00
_cell_angle_gamma 90.00
_symmetry_space_group_name_H-M 'C m c 21'
_symmetry_Int_Tables_number 36
loop_
_symmetry_equiv_pos_as_xyz
'x,y,z'
'-x,-y,z+1/2'
'-x,y,z'
'x,-y,z+1/2'
'x+1/2,y+1/2,z'
'-x+1/2,-y+1/2,z+1/2'
'-x+1/2,y+1/2,z'
'x+1/2,-y+1/2,z+1/2'
loop_
_atom_site_label
_atom_site_fract_x
_atom_site_fract_y
_atom_site_fract_z
Th1 0.0000 0.1095 0.0000
Th2 0.0000 0.1348 0.5955
Mg1 0.0000 0.4777 0.7738
Np1 0.0000 0.2093 0.3121
N1 0.0000 0.0641 0.3551
N2 0.0000 0.2795 0.9577
N3 0.0000 0.3050 0.6728
N4 0.0000 0.3617 0.3150
N5 0.0000 0.4922 0.0795
```



Entry 11:
# Mg3Np3TiN8

Mg3Np3TiN8 after structural relaxation (GGA-PBE, the Alexandria database).

Calculated values
- Total energy: -8.8510 eV per atom
- Theoretical density: 8.06 g/cm³

Geometry as CIF:
```
data_Mg3Np3TiN8
_cell_length_a 6.5943
_cell_length_b 6.5943
_cell_length_c 15.4884
_cell_angle_alpha 90.00
_cell_angle_beta 90.00
_cell_angle_gamma 120.00
_symmetry_space_group_name_H-M 'R -3 m'
_symmetry_Int_Tables_number 166
_symmetry_space_group_name_Hall '-R 3 2"'
loop_
_atom_site_label
_atom_site_fract_x
_atom_site_fract_y
_atom_site_fract_z
Mg1 0.0000 0.5000 0.0000
Np1 0.0000 0.5000 0.5000
Ti1 0.0000 0.0000 0.5000
N1 0.0000 0.0000 0.2525
N2 0.0195 0.5097 0.2386
```



Entry 12:
# TmMg2NpN4

TmMg2NpN4 after structural relaxation (GGA-PBE, the Alexandria database).

Calculated values
- Total energy: -7.9009 eV per atom
- Theoretical density: 8.36 g/cm³

Geometry as CIF:
```
data_TmMg2NpN4
_cell_length_a 5.5285
_cell_length_b 3.3701
_cell_length_c 5.7711
_cell_angle_alpha 90.00
_cell_angle_beta 109.38
_cell_angle_gamma 90.00
_symmetry_space_group_name_H-M 'P 1 2/m 1'
_symmetry_Int_Tables_number 10
loop_
_symmetry_equiv_pos_as_xyz
'x,y,z'
'-x,-y,-z'
'-x,y,-z'
'x,-y,z'
loop_
_atom_site_label
_atom_site_fract_x
_atom_site_fract_y
_atom_site_fract_z
Tm1 0.0000 0.0000 0.0000
Mg1 0.5000 0.0000 0.5000
Mg2 0.5000 0.5000 0.0000
Np1 0.0000 0.5000 0.5000
N1 0.2336 0.5000 0.2649
N2 0.2477 0.0000 0.7432
```